A relaxed structure of AgRu, computed with PBE.

```
AgRu
1.0
-4.0523 4.0523 4.0523
4.0523 -4.0523 4.0523
4.0523 4.0523 -4.0523
Ag Ru
4 4
direct
0.0000 0.0000 0.4108 Ag
0.0000 0.4108 0.0000 Ag
0.4108 0.0000 0.0000 Ag
0.5892 0.5892 0.5892 Ag
0.0000 0.0000 0.7839 Ru
0.0000 0.7839 0.0000 Ru
0.2161 0.2161 0.2161 Ru
0.7839 0.0000 0.0000 Ru
```

Output
Total magnetization (μB per formula unit): 1.2
Density (g cm⁻³): 5.21
Energy (eV per atom): -4.381
Energy of formation (eV per atom): 1.682